[1]
RbTeSeBr2 | GGA-PBE | optimized geometry

Lattice parameters (Å, degrees): 5.7746 5.7746 5.4929 90.00 90.00 90.00
Closest atoms and distances in Å follow each position.
Fractional positions:
Te: 0.0000 0.0000 0.0000  2 Se 2.75, 4 Br 2.89
Se: 0.0000 0.0000 0.5000  2 Te 2.75
Br: 0.0000 0.5000 0.0000  2 Te 2.89
Br: 0.5000 0.0000 0.0000  2 Te 2.89
Rb: 0.5000 0.5000 0.5000  8 Br 3.98, 4 Se 4.08

Calculated values
Uncorrected energy (eV per atom): -2.824
Energy relative to the elements, uncorrected (eV per formula unit): -3.180
Energy above the lowest structure with this stoichiometry (eV/atom): 0.000


[2]
RbTiSeBr2 | GGA-PBE | optimized geometry

Lattice parameters (Å, degrees): 6.0481 6.0481 6.0386 90.00 90.00 90.00
Closest atoms and distances in Å follow each position.
Fractional positions:
Se: 0.0000 0.0000 0.5000  2 Rb 3.02
Br: 0.0000 0.5000 0.0000  2 Rb 3.02
Br: 0.5000 0.0000 0.0000  2 Rb 3.02
Rb: 0.0000 0.0000 0.0000  2 Se 3.02, 4 Br 3.02
Ti: 0.5000 0.5000 0.5000  8 Br 4.27, 4 Se 4.28

Calculated values
Uncorrected energy (eV per atom): -2.657
Energy relative to the elements, uncorrected (eV per formula unit): 2.406
Energy above the lowest structure with this stoichiometry (eV/atom): 1.696


[3]
RbTiSeBr2 | GGA-PBE | optimized geometry

Lattice parameters (Å, degrees): 5.4310 5.4310 4.9667 90.00 90.00 90.00
Closest atoms and distances in Å follow each position.
Fractional positions:
Se: 0.0000 0.0000 0.5000  2 Ti 2.48
Br: 0.0000 0.5000 0.0000  2 Ti 2.72
Br: 0.5000 0.0000 0.0000  2 Ti 2.72
Rb: 0.5000 0.5000 0.5000  8 Br 3.68, 4 Se 3.84
Ti: 0.0000 0.0000 0.0000  2 Se 2.48, 4 Br 2.72

Calculated values
Uncorrected energy (eV per atom): -4.353
Energy relative to the elements, uncorrected (eV per formula unit): -6.073
Energy above the lowest structure with this stoichiometry (eV/atom): 0.000


[4]
Rb2TiSeBr6 | GGA-PBE | optimized geometry

Lattice parameters (Å, degrees): 8.5498 8.5498 7.9177 57.32 57.32 90.00
Closest atoms and distances in Å follow each position.
Fractional positions:
Se: 0.0000 0.0000 0.0000  2 Br 2.56
Br: 0.2504 0.2504 0.4992  1 Ti 2.55, 1 Se 2.56
Br: 0.7496 0.7496 0.5008  1 Ti 2.55, 1 Se 2.56
Br: 0.2895 0.2895 0.0000  1 Ti 2.54
Br: 0.7105 0.7105 0.0000  1 Ti 2.54
Br: 0.7105 0.2895 0.0000  1 Ti 2.54
Br: 0.2895 0.7105 0.0000  1 Ti 2.54
Rb: 0.7500 0.2500 0.5000  12 Br 3.99-4.27
Rb: 0.2500 0.7500 0.5000  12 Br 3.99-4.27
Ti: 0.5000 0.5000 0.0000  6 Br 2.54-2.55

Calculated values
Uncorrected energy (eV per atom): -3.393
Energy relative to the elements, uncorrected (eV per formula unit): -10.581


[5]
RbTiSe2Br | GGA-PBE | optimized geometry

Lattice parameters (Å, degrees): 4.9982 4.9982 5.5213 90.00 90.00 90.00
Closest atoms and distances in Å follow each position.
Fractional positions:
Se: 0.0000 0.5000 0.0000  2 Ti 2.50
Se: 0.5000 0.0000 0.0000  2 Ti 2.50
Br: 0.0000 0.0000 0.5000  2 Ti 2.76
Rb: 0.5000 0.5000 0.5000  4 Br 3.53, 8 Se 3.72
Ti: 0.0000 0.0000 0.0000  4 Se 2.50, 2 Br 2.76

Calculated values
Uncorrected energy (eV per atom): -4.605
Energy relative to the elements, uncorrected (eV per formula unit): -5.521
Energy above the lowest structure with this stoichiometry (eV/atom): 0.000


[6]
RbTiSeBr2 | GGA-PBE | optimized geometry

Lattice parameters (Å, degrees): 6.5916 4.6693 6.5916 90.00 90.00 90.00
Closest atoms and distances in Å follow each position.
Fractional positions:
Se: 0.0000 0.0000 0.0000  2 Ti 2.33
Br: 0.0000 0.0000 0.5000  2 Se 3.30
Br: 0.5000 0.0000 0.0000  2 Se 3.30
Rb: 0.5000 0.5000 0.5000  8 Br 4.04
Ti: 0.0000 0.5000 0.0000  2 Se 2.33

Calculated values
Uncorrected energy (eV per atom): -3.598
Energy relative to the elements, uncorrected (eV per formula unit): -2.297
Energy above the lowest structure with this stoichiometry (eV/atom): 0.755